(1)
Crystalline PmY2Co at its relaxed geometry. Source: Alexandria, functional PBE.

Lattice parameters (Å, degrees): 3.6634 12.2378 9.5596 90.00 90.00 90.00
With the nearest neighbours (Å) after each atom.
Space group Cmcm (No. 63)
Symmetry-distinct sites (fractional):
Pm (0.0000, 0.0852, 0.2500) [4 per cell]  2 Co 2.75
Y (0.0000, 0.3585, 0.0735) [8 per cell]  2 Co 2.81
Co (0.0000, 0.2472, 0.7500) [4 per cell]  2 Pm 2.75, 4 Y 2.81

## Properties
DOS at the Fermi energy = 21.23 states/eV/cell
VASP energy = -6.304 eV per atom
magnetization = 0.00 μB/f.u.
polymorph energy (0 for the lowest one) = 2.1 kJ/mol of atoms
E_form = -0.11 eV per atom



(2)
Crystalline CsTeOsPd2 at its relaxed geometry. Source: Alexandria, functional PBE.

Lattice parameters (Å, degrees): 5.2294 5.2294 5.0447 90.00 90.00 90.00
With the nearest neighbours (Å) after each atom.
Space group P4/mmm (No. 123)
Symmetry-distinct sites (fractional):
Cs (0.0000, 0.0000, 0.0000) [1 per cell]  8 Pd 3.63, 4 Os 3.70
Te (0.5000, 0.5000, 0.5000) [1 per cell]  2 Os 2.52, 4 Pd 2.61
Os (0.5000, 0.5000, 0.0000) [1 per cell]  2 Te 2.52
Pd (0.0000, 0.5000, 0.5000) [2 per cell]  2 Te 2.61

## Properties
DOS at the Fermi energy = 4.25 states/eV/cell
E_form (uncorrected) = 0.77 eV per atom
VASP energy = -4.354 eV per atom
magnetization = 1.75 μB/f.u.



(3)
Crystalline Ac2Pm2Pr at its relaxed geometry. Source: Alexandria, functional PBE.

Lattice parameters (Å, degrees): 4.9960 4.9960 16.6600 90.00 90.00 90.00
With the nearest neighbours (Å) after each atom.
Space group I4/mmm (No. 139)
Symmetry-distinct sites (fractional):
Ac (0.0000, 0.5000, 0.2500) [4 per cell]  4 Ac 3.53, 4 Pm 3.63
Pm (0.0000, 0.0000, 0.0918) [4 per cell]  1 Pm 3.06
Pr (0.0000, 0.0000, 0.5000) [2 per cell]  8 Pm 3.85

## Properties
DOS at the Fermi energy = 20.90 states/eV/cell
VASP energy = -4.092 eV per atom
magnetization = 0.00 μB/f.u.
polymorph energy (0 for the lowest one) = 31.8 kJ/mol of atoms
E_form = 0.41 eV per atom



(4)
Crystalline ThP2Ru4 at its relaxed geometry. Source: Alexandria, functional PBE.

Lattice parameters (Å, degrees): 8.2983 3.8798 7.2042 90.00 97.85 90.00
With the nearest neighbours (Å) after each atom.
Space group C2/m (No. 12)
Symmetry-distinct sites (fractional):
Th (0.0000, 0.0000, 0.0000) [2 per cell]  6 Ru 3.09-3.20, 6 P 3.09-3.16
P (0.2201, 0.5000, 0.2559) [4 per cell]  6 Ru 2.36-2.59
Ru (0.0722, 0.5000, 0.6885) [4 per cell]  3 P 2.51-2.59, 5 Ru 2.67-2.75
Ru (0.1361, 0.0000, 0.4379) [4 per cell]  3 P 2.36-2.49, 1 Ru 2.54

## Properties
DOS at the Fermi energy = 11.17 states/eV/cell
VASP energy = -8.453 eV per atom
magnetization = 0.00 μB/f.u.
polymorph energy (0 for the lowest one) = 14.9 kJ/mol of atoms
E_form = -0.55 eV per atom



(5)
Crystalline CrInFe2N at its relaxed geometry. Source: Alexandria, functional PBE.

Lattice parameters (Å, degrees): 3.9271 3.9271 3.8590 90.00 90.00 90.00
With the nearest neighbours (Å) after each atom.
Space group P4/mmm (No. 123)
Symmetry-distinct sites (fractional):
Cr (0.0000, 0.0000, 0.0000) [1 per cell]  2 N 1.93
In (0.5000, 0.5000, 0.0000) [1 per cell]  8 Fe 2.75, 4 Cr 2.78
Fe (0.0000, 0.5000, 0.5000) [2 per cell]  2 N 1.96
N (0.0000, 0.0000, 0.5000) [1 per cell]  2 Cr 1.93, 4 Fe 1.96

## Properties
DOS at the Fermi energy = 3.92 states/eV/cell
E_form (uncorrected) = -0.07 eV per atom
VASP energy = -7.597 eV per atom
magnetization = 4.24 μB/f.u.



(6)
Crystalline YCdTc at its relaxed geometry. Source: Alexandria, functional PBE.

Lattice parameters (Å, degrees): 6.8029 6.8029 6.8029 90.00 90.00 90.00
With the nearest neighbours (Å) after each atom.
Space group F-43m (No. 216)
Symmetry-distinct sites (fractional):
Y (0.0000, 0.0000, 0.0000) [4 per cell]  4 Cd 2.95, 4 Tc 2.95
Cd (0.2500, 0.2500, 0.2500) [4 per cell]  4 Y 2.95
Tc (0.2500, 0.2500, 0.7500) [4 per cell]  4 Y 2.95

## Properties
DOS at the Fermi energy = 31.05 states/eV/cell
VASP energy = -4.875 eV per atom
magnetization = 1.93 μB/f.u.
polymorph energy (0 for the lowest one) = 84.6 kJ/mol of atoms
E_form = 1.04 eV per atom



(7)
Crystalline LiLaPuIr at its relaxed geometry. Source: Alexandria, functional PBE.

Lattice parameters (Å, degrees): 7.1221 7.1221 7.1221 90.00 90.00 90.00
With the nearest neighbours (Å) after each atom.
Space group F-43m (No. 216)
Symmetry-distinct sites (fractional):
Li (0.0000, 0.0000, 0.0000) [4 per cell]  4 La 3.08, 4 Pu 3.08
La (0.2500, 0.2500, 0.2500) [4 per cell]  4 Li 3.08, 4 Ir 3.08
Pu (0.2500, 0.2500, 0.7500) [4 per cell]  4 Li 3.08, 4 Ir 3.08
Ir (0.0000, 0.0000, 0.5000) [4 per cell]  4 Pu 3.08, 4 La 3.08

## Properties
DOS at the Fermi energy = 34.06 states/eV/cell
VASP energy = -7.773 eV per atom
magnetization = 6.02 μB/f.u.
E_form = -0.26 eV per atom



(8)
Crystalline NaCaCd2Hg4 at its relaxed geometry. Source: Alexandria, functional PBE.

Lattice parameters (Å, degrees): 5.1414 5.1414 25.4106 90.00 90.00 120.00
With the nearest neighbours (Å) after each atom.
Space group R-3m (No. 166, hexagonal axes)
Symmetry-distinct sites (fractional):
Na (0.0000, 0.0000, 0.0000) [3 per cell]  8 Hg 3.10-3.13
Ca (0.0000, 0.0000, 0.5000) [3 per cell]  8 Hg 3.18-3.23
Cd (0.0000, 0.0000, 0.2504) [6 per cell]  8 Hg 3.11-3.26
Hg (0.0000, 0.0000, 0.1221) [6 per cell]  1 Na 3.10, 4 Cd 3.13-3.26, 3 Ca 3.18
Hg (0.0000, 0.0000, 0.3728) [6 per cell]  4 Cd 3.11-3.17, 3 Na 3.13, 1 Ca 3.23

## Properties
DOS at the Fermi energy = 13.22 states/eV/cell
VASP energy = -1.059 eV per atom
magnetization = 0.00 μB/f.u.
E_form = -0.26 eV per atom



(9)
Crystalline TiHPdF2 at its relaxed geometry. Source: Alexandria, functional PBE.

Lattice parameters (Å, degrees): 4.0156 4.0156 3.4541 90.00 90.00 90.00
With the nearest neighbours (Å) after each atom.
Space group P4/mmm (No. 123)
Symmetry-distinct sites (fractional):
Ti (0.0000, 0.0000, 0.0000) [1 per cell]  8 F 2.65, 4 Pd 2.84
H (0.5000, 0.5000, 0.5000) [1 per cell]  2 Pd 1.73
Pd (0.5000, 0.5000, 0.0000) [1 per cell]  2 H 1.73
F (0.0000, 0.5000, 0.5000) [2 per cell]  2 H 2.01

## Properties
DOS at the Fermi energy = 2.26 states/eV/cell
VASP energy = -4.683 eV per atom
magnetization = 1.01 μB/f.u.



(10)
Crystalline Y2Ni2Pb at its relaxed geometry. Source: Alexandria, functional PBE.

Lattice parameters (Å, degrees): 5.3319 5.3319 7.8103 90.00 90.00 90.00
With the nearest neighbours (Å) after each atom.
Space group I4/mmm (No. 139)
Symmetry-distinct sites (fractional):
Y (0.0000, 0.5000, 0.2500) [4 per cell]  4 Ni 2.79
Ni (0.0000, 0.0000, 0.1429) [4 per cell]  1 Ni 2.23
Pb (0.0000, 0.0000, 0.5000) [2 per cell]  2 Ni 2.79

## Properties
DOS at the Fermi energy = 1.75 states/eV/cell
VASP energy = -5.905 eV per atom
magnetization = 0.00 μB/f.u.
E_form = -0.27 eV per atom



(11)
Crystalline Pa2SBr6 at its relaxed geometry. Source: Alexandria, functional PBE.

Lattice parameters (Å, degrees): 16.8344 3.5189 12.9706 90.00 121.77 90.00
With the nearest neighbours (Å) after each atom.
Space group C2/m (No. 12)
Symmetry-distinct sites (fractional):
Pa (0.0445, 0.0000, 0.1891) [4 per cell]  2 S 2.78, 6 Br 2.94-2.96
S (0.0000, 0.5000, 0.0000) [2 per cell]  4 Pa 2.78
Br (0.0931, 0.5000, 0.3962) [4 per cell]  2 Pa 2.94
Br (0.1138, 0.5000, 0.8632) [4 per cell]  2 Pa 2.96, 1 S 3.23
Br (0.2038, 0.5000, 0.2456) [4 per cell]  2 Pa 2.96, 1 S 3.23

## Properties
DOS at the Fermi energy = 8.43 states/eV/cell
E_form (uncorrected) = -1.36 eV per atom
VASP energy = -5.047 eV per atom
magnetization = 1.47 μB/f.u.



(12)
Crystalline KCrSi2 at its relaxed geometry. Source: Alexandria, functional PBE.

Lattice parameters (Å, degrees): 5.2962 5.2962 15.5194 90.00 90.00 90.00
With the nearest neighbours (Å) after each atom.
Space group I4_1/amd (No. 141, origin choice 2)
Symmetry-distinct sites (fractional):
K (0.0000, 0.2500, 0.3750) [4 per cell]  8 Si 3.54, 4 Cr 3.74
Cr (0.0000, 0.2500, 0.8750) [4 per cell]  4 Si 2.35
Si (0.0000, 0.0000, 0.0000) [8 per cell]  2 Cr 2.35

## Properties
DOS at the Fermi energy = 9.17 states/eV/cell
E_form (uncorrected) = 0.40 eV per atom
VASP energy = -4.990 eV per atom
magnetization = 2.37 μB/f.u.
polymorph energy (0 for the lowest one) = 23.8 kJ/mol of atoms



(13)
Crystalline Ba4C at its relaxed geometry. Source: Alexandria, functional PBE.

Lattice parameters (Å, degrees): 4.3020 4.3020 15.6831 90.00 90.00 120.00
With the nearest neighbours (Å) after each atom.
Space group P-3m1 (No. 164)
Symmetry-distinct sites (fractional):
Ba (0.3333, 0.6667, 0.0948) [2 per cell]  3 C 2.89
Ba (0.3333, 0.6667, 0.3823) [2 per cell]  10 Ba 4.30-4.51
C (0.0000, 0.0000, 0.0000) [1 per cell]  6 Ba 2.89

## Properties
DOS at the Fermi energy = 7.12 states/eV/cell
VASP energy = -2.943 eV per atom
magnetization = 1.45 μB/f.u.
polymorph energy (0 for the lowest one) = 0.0 kJ/mol of atoms
E_form = 0.44 eV per atom



(14)
Crystalline Dy2TmOsC2 at its relaxed geometry. Source: Alexandria, functional PBE.

Lattice parameters (Å, degrees): 5.5484 10.9665 3.6815 90.00 90.00 90.00
With the nearest neighbours (Å) after each atom.
Space group Pnnm (No. 58)
Symmetry-distinct sites (fractional):
Dy (0.0521, 0.2077, 0.0000) [4 per cell]  3 C 2.44-2.46
Tm (0.0000, 0.5000, 0.5000) [2 per cell]  4 C 2.56
Os (0.0000, 0.0000, 0.5000) [2 per cell]  2 C 2.00
C (0.2231, 0.6169, 0.0000) [4 per cell]  1 Os 2.00

## Properties
DOS at the Fermi energy = 8.36 states/eV/cell
VASP energy = -7.444 eV per atom
magnetization = 0.00 μB/f.u.
E_form = -0.22 eV per atom



(15)
Crystalline Nd2Al3Ga4 at its relaxed geometry. Source: Alexandria, functional PBE.

Lattice parameters (Å, degrees): 5.8894 15.5860 7.9593 90.00 90.00 90.00
With the nearest neighbours (Å) after each atom.
Space group Cmce (No. 64)
Symmetry-distinct sites (fractional):
Nd (0.0000, 0.1128, 0.0865) [8 per cell]  8 Ga 3.16-3.36, 6 Al 3.27-3.50
Al (0.0000, 0.0000, 0.5000) [4 per cell]  6 Ga 2.61-2.83
Al (0.2500, 0.2192, 0.7500) [8 per cell]  5 Ga 2.59-2.77
Ga (0.0000, 0.1808, 0.4652) [8 per cell]  5 Al 2.74-2.83
Ga (0.2500, 0.0530, 0.7500) [8 per cell]  3 Al 2.59-2.61

## Properties
DOS at the Fermi energy = 14.14 states/eV/cell
VASP energy = -4.115 eV per atom
magnetization = 0.00 μB/f.u.
E_form = -0.46 eV per atom



(16)
Crystalline MgPd2Au8 at its relaxed geometry. Source: Alexandria, functional PBE.

Lattice parameters (Å, degrees): 4.1599 7.5770 12.6959 90.00 90.00 90.00
With the nearest neighbours (Å) after each atom.
Space group Immm (No. 71)
Symmetry-distinct sites (fractional):
Mg (0.0000, 0.0000, 0.0000) [2 per cell]  12 Au 2.83-3.02
Pd (0.0000, 0.0000, 0.3213) [4 per cell]  10 Au 2.77-2.95
Au (0.0000, 0.2118, 0.5000) [4 per cell]  2 Pd 2.78, 6 Au 2.91-2.95, 2 Mg 3.02
Au (0.0000, 0.2605, 0.1597) [8 per cell]  3 Pd 2.77-2.85, 1 Mg 2.83, 7 Au 2.87-3.10
Au (0.0000, 0.5000, 0.3438) [4 per cell]  8 Au 2.87-2.96, 2 Mg 2.87, 2 Pd 2.95

## Properties
DOS at the Fermi energy = 7.57 states/eV/cell
VASP energy = -3.619 eV per atom
magnetization = 0.00 μB/f.u.
polymorph energy (0 for the lowest one) = 0.0 kJ/mol of atoms
E_form = -0.15 eV per atom



(17)
Crystalline SrLiSi2Pt2 at its relaxed geometry. Source: Alexandria, functional PBE.

Lattice parameters (Å, degrees): 4.2282 4.2282 7.2359 90.00 90.00 120.00
With the nearest neighbours (Å) after each atom.
Space group P-3m1 (No. 164)
Symmetry-distinct sites (fractional):
Sr (0.0000, 0.0000, 0.0000) [1 per cell]  6 Si 3.38, 6 Pt 3.39, 2 Li 3.62
Li (0.0000, 0.0000, 0.5000) [1 per cell]  6 Pt 2.75, 6 Si 2.76
Si (0.3333, 0.6667, 0.3233) [2 per cell]  4 Pt 2.44-2.54
Pt (0.3333, 0.6667, 0.6744) [2 per cell]  4 Si 2.44-2.54

## Properties
DOS at the Fermi energy = 2.99 states/eV/cell
E_form (uncorrected) = -0.87 eV per atom
VASP energy = -5.292 eV per atom
magnetization = 0.00 μB/f.u.